# SmMgOs, optimized geometry, DFT PBE-GGA
data_SmMgOs
_symmetry_space_group_name_H-M 'I 4 m m'
_symmetry_Int_Tables_number 107
_symmetry_space_group_name_Hall 'I 4 -2'
_cell_length_a 3.426
_cell_length_b 3.426
_cell_length_c 11.205
_cell_angle_alpha 90.00
_cell_angle_beta 90.00
_cell_angle_gamma 90.00
loop_
_atom_site_label
_atom_site_type_symbol
_atom_site_fract_x
_atom_site_fract_y
_atom_site_fract_z
_atom_site_occupancy
Sm1 Sm 0.000 0.000 0.000 1
Mg1 Mg 0.000 0.000 0.730 1
Os1 Os 0.000 0.000 0.351 1
# Size of the total moment in Bohr magnetons per cell: 0.00
# E in eV per atom: -5.7419
# Fermi-level density of states in states/eV/atom: 0.632
# ΔE_f in eV/atom: 0.11

***

# PrCuSn, optimized geometry, DFT PBE-GGA
data_PrCuSn
_symmetry_space_group_name_H-M 'I 4 m m'
_symmetry_Int_Tables_number 107
_symmetry_space_group_name_Hall 'I 4 -2'
_cell_length_a 4.232
_cell_length_b 4.232
_cell_length_c 8.722
_cell_angle_alpha 90.00
_cell_angle_beta 90.00
_cell_angle_gamma 90.00
loop_
_atom_site_label
_atom_site_type_symbol
_atom_site_fract_x
_atom_site_fract_y
_atom_site_fract_z
_atom_site_occupancy
Pr1 Pr 0.000 0.000 0.000 1
Cu1 Cu 0.000 0.000 0.342 1
Sn1 Sn 0.000 0.000 0.647 1
# Size of the total moment in Bohr magnetons per cell: 0.00
# E in eV per atom: -4.3935
# Fermi-level density of states in states/eV/atom: 0.688
# ΔE_f in eV/atom: -0.10